Below is Pr2HfTl3S6 after structural relaxation, with properties calculated at the GGA-PBE level.

D(E_F): 0.442 states/eV/atom
space-group type: No. 12
uncorrected formation energy: -1.30 eV/atom

Geometry as POSCAR:
```
Pr2HfTl3S6
1.0
6.9968 0.0013 -0.0167
-3.4956 6.0611 -0.0167
-1.1855 -2.0527 7.6026
Tl S Pr Hf
3 6 2 1
direct
0.1715 0.8285 0.5000 Tl
0.8285 0.1715 0.5000 Tl
0.5000 0.5000 0.5000 Tl
0.6312 0.9324 0.8033 S
0.3688 0.0676 0.1967 S
0.9324 0.6312 0.8033 S
0.7701 0.7701 0.2035 S
0.2299 0.2299 0.7965 S
0.0676 0.3688 0.1967 S
0.6662 0.3338 0.0000 Pr
0.3338 0.6662 0.0000 Pr
0.0000 0.0000 0.0000 Hf
```